[1]
## Pm5Cd2Sn (PBE)

Data for an optimized crystal structure of Pm5Cd2Sn.

Structure (POSCAR):
```
Pm5Cd2Sn
1.0
8.062 0.000 0.000
0.000 8.062 0.000
-4.031 -4.031 7.525
Cd Sn Pm
4 2 10
Cartesian
7.024 5.069 0.000 Cd
2.993 7.024 0.000 Cd
5.069 1.038 0.000 Cd
1.038 2.993 0.000 Cd
4.031 4.031 3.762 Sn
0.000 0.000 3.762 Sn
5.333 6.759 2.333 Pm
-1.303 -2.728 5.191 Pm
2.728 -1.303 5.191 Pm
-2.728 1.303 5.191 Pm
1.303 5.333 2.333 Pm
2.728 1.303 2.333 Pm
6.759 2.728 2.333 Pm
4.031 4.031 0.000 Pm
1.303 2.728 5.191 Pm
0.000 0.000 0.000 Pm
```

## Properties
E_form ... -0.333 eV/atom
Space group ... No. 140


[2]
## BiPRhO2 (PBE)

Data for an optimized crystal structure of BiPRhO2.

Structure (POSCAR):
```
BiPRhO2
1.0
4.009 0.000 0.000
0.000 4.009 0.000
0.000 0.000 4.833
Rh O Bi P
1 2 1 1
Cartesian
0.000 0.000 0.000 Rh
0.000 2.005 0.000 O
2.005 0.000 0.000 O
2.005 2.005 2.416 Bi
0.000 0.000 2.416 P
```

## Properties
Formation energy without anion corrections ... -0.13 eV per atom
Offset from the most stable computed form ... 0.000 eV/atom
Space group ... No. 123


[3]
## Rb3Ce2ScTe6 (PBE)

Data for an optimized crystal structure of Rb3Ce2ScTe6.

Structure (POSCAR):
```
Rb3Ce2ScTe6
1.0
-1.206 -6.852 3.789
5.536 0.485 -5.645
4.337 4.355 6.486
Te Rb Sc Ce
6 3 1 2
Cartesian
7.902 -0.297 2.273 Te
5.778 -2.609 5.245 Te
4.124 -3.920 -0.101 Te
0.765 -1.715 2.357 Te
2.890 0.596 -0.615 Te
4.543 1.908 4.731 Te
2.116 -3.419 5.418 Rb
6.551 1.407 -0.788 Rb
4.334 -1.006 2.315 Rb
0.000 0.000 0.000 Sc
1.045 -4.402 0.639 Ce
3.285 -1.965 -2.495 Ce
```

## Properties
Formation energy without anion corrections ... -1.29 eV per atom
Space group ... No. 12


[4]
## Tm4HgPd (PBE)

Data for an optimized crystal structure of Tm4HgPd.

Structure (POSCAR):
```
Tm4HgPd
1.0
8.238 0.000 4.756
2.746 7.767 4.756
0.000 0.000 9.512
Hg Tm Pd
4 16 4
Cartesian
1.783 1.261 3.089 Hg
2.746 3.984 4.756 Hg
4.671 1.261 4.756 Hg
1.783 1.261 6.423 Hg
4.299 3.040 7.446 Tm
9.269 4.366 12.482 Tm
9.269 4.366 16.055 Tm
2.035 1.439 9.512 Tm
7.220 1.439 12.506 Tm
7.220 1.439 6.518 Tm
4.299 3.040 11.579 Tm
3.763 6.328 12.506 Tm
8.949 6.328 9.512 Tm
5.492 6.414 9.512 Tm
7.878 3.040 9.512 Tm
7.206 7.284 16.055 Tm
7.206 7.284 12.482 Tm
6.175 4.366 14.268 Tm
3.763 6.328 6.518 Tm
10.301 7.284 14.268 Tm
3.221 4.686 9.512 Pd
5.492 1.475 9.512 Pd
6.627 4.686 7.546 Pd
6.627 4.686 11.479 Pd
```

## Properties
E_form ... -0.523 eV/atom
Offset from the most stable computed form ... 0.000 eV/atom
Space group ... No. 216


[5]
## CeY2Zr (PBE)

Data for an optimized crystal structure of CeY2Zr.

Structure (POSCAR):
```
CeY2Zr
1.0
-2.298 -0.948 -2.218
0.750 -2.290 -2.300
-4.125 -9.730 5.932
Y Ce Zr
2 1 1
Cartesian
-2.496 -5.508 -2.566 Y
-3.178 -7.460 3.980 Y
-2.837 -6.484 0.707 Ce
0.000 0.000 0.000 Zr
```

## Properties
E_form ... 0.319 eV/atom
Offset from the most stable computed form ... 0.214 eV/atom
Space group ... No. 166


[6]
## HoLu2Sn (PBE)

Data for an optimized crystal structure of HoLu2Sn.

Structure (POSCAR):
```
HoLu2Sn
1.0
-0.089 0.584 4.698
4.413 -1.714 0.297
1.738 4.384 -0.512
Sn Ho Lu
1 1 2
Cartesian
-0.045 0.292 2.349 Sn
3.030 1.627 2.242 Ho
2.206 -0.857 0.149 Lu
0.869 2.192 -0.256 Lu
```

## Properties
E_form ... -0.383 eV/atom
Offset from the most stable computed form ... 0.000 eV/atom
Space group ... No. 123


[7]
## CePtS (PBE)

Data for an optimized crystal structure of CePtS.

Structure (POSCAR):
```
CePtS
1.0
4.483 0.000 0.000
2.242 3.883 0.000
2.242 1.294 8.205
Ce Pt S
2 2 2
Cartesian
6.725 3.883 6.008 Ce
2.242 1.294 2.197 Ce
4.483 2.588 0.658 Pt
4.483 2.588 7.547 Pt
2.242 1.294 5.122 S
6.725 3.883 3.083 S
```

## Properties
Formation energy without anion corrections ... -1.21 eV per atom
Space group ... No. 166


[8]
## BaCrSi2 (PBE)

Data for an optimized crystal structure of BaCrSi2.

Structure (POSCAR):
```
BaCrSi2
1.0
6.937 0.013 0.047
-2.710 4.809 0.163
1.517 0.768 2.802
Si Ba Cr
2 1 1
Cartesian
0.000 0.000 0.000 Si
4.227 0.391 1.425 Si
-0.596 2.789 1.483 Ba
2.114 2.411 0.105 Cr
```

## Properties
Formation energy without anion corrections ... 0.65 eV per atom
Offset from the most stable computed form ... 0.785 eV/atom
Space group ... No. 12


Number 1: VASP energy -4.031 eV/atom. Number 2: VASP energy -5.437 eV/atom. Number 3: VASP energy -4.618 eV/atom. Number 4: VASP energy -4.420 eV/atom. Number 5: VASP energy -6.534 eV/atom. Number 6: VASP energy -4.788 eV/atom. Number 7: VASP energy -6.579 eV/atom. Number 8: VASP energy -4.948 eV/atom.